Record 1
Li2Al5Cu3: relaxed, PBE.

The magnetization is 0.00 μB/f.u. The total energy comes out at -3.6405 eV per atom. As for the space group: Cmc2_1 (36). Its mass density is 3.710 Mg/m³.

Unit cell a=12.124 b=12.124 c=6.226 alpha=90.00 beta=90.00 gamma=160.61
Sites, in units of the cell vectors:
Li 0.024 0.976 0.500
Li 0.306 0.694 0.727
Li 0.694 0.306 0.227
Li 0.976 0.024 0.000
Al 0.094 0.906 0.880
Al 0.205 0.795 0.521
Al 0.205 0.795 0.965
Al 0.379 0.621 0.059
Al 0.437 0.563 0.682
Al 0.563 0.437 0.182
Al 0.621 0.379 0.559
Al 0.795 0.205 0.021
Al 0.795 0.205 0.465
Al 0.906 0.094 0.380
Cu 0.125 0.875 0.264
Cu 0.282 0.718 0.244
Cu 0.463 0.537 0.294
Cu 0.537 0.463 0.794
Cu 0.718 0.282 0.744
Cu 0.875 0.125 0.764



Record 2
Li2Al3Cu8: relaxed, PBE.

The magnetization is 0.00 μB/f.u. The total energy comes out at -3.6834 eV per atom. As for the space group: R-3m (166). Its mass density is 5.572 Mg/m³.

Unit cell a=9.435 b=9.435 c=9.435 alpha=29.46 beta=29.46 gamma=29.46
Sites, in units of the cell vectors:
Li 0.138 0.138 0.138
Li 0.862 0.862 0.862
Al 0.315 0.315 0.315
Al 0.500 0.500 0.500
Al 0.685 0.685 0.685
Cu 0.226 0.226 0.226
Cu 0.229 0.229 0.727
Cu 0.229 0.727 0.229
Cu 0.273 0.771 0.771
Cu 0.727 0.229 0.229
Cu 0.771 0.273 0.771
Cu 0.771 0.771 0.273
Cu 0.774 0.774 0.774



Record 3
Li2AlCu: relaxed, PBE.

The magnetization is 0.00 μB/f.u. The total energy comes out at -3.0547 eV per atom. As for the space group: P4mm (99). Its mass density is 2.927 Mg/m³.

Unit cell a=3.003 b=3.003 c=6.569 alpha=90.00 beta=90.00 gamma=90.00
Sites, in units of the cell vectors:
Li 0.000 0.000 0.000
Li 0.500 0.500 0.287
Al 0.000 0.000 0.557
Cu 0.500 0.500 0.767



Record 4
LiAlCu2: relaxed, PBE.

The magnetization is 0.00 μB/f.u. The total energy comes out at -3.5936 eV per atom. As for the space group: Pmm2 (25). Its mass density is 5.090 Mg/m³.

Unit cell a=2.627 b=3.836 c=5.213 alpha=90.00 beta=90.00 gamma=90.00
Sites, in units of the cell vectors:
Li 0.000 0.000 0.000
Al 0.500 0.500 0.286
Cu 0.000 0.000 0.512
Cu 0.500 0.500 0.773



Record 5
Li2AlCu2: relaxed, PBE.

The magnetization is 0.00 μB/f.u. As for the space group: C2/c (15). Its mass density is 3.947 Mg/m³. The relative energy among the computed polymorphs is 43 meV per atom.

Unit cell a=4.692 b=4.692 c=6.545 alpha=96.87 beta=96.87 gamma=94.96
Sites, in units of the cell vectors:
Li 0.115 0.261 0.499
Li 0.261 0.115 0.999
Li 0.739 0.885 0.001
Li 0.885 0.739 0.501
Al 0.360 0.640 0.250
Al 0.640 0.360 0.750
Cu 0.163 0.573 0.866
Cu 0.427 0.837 0.634
Cu 0.573 0.163 0.366
Cu 0.837 0.427 0.134



Record 6
Li14AlCu: relaxed, PBE.

The magnetization is 0.00 μB/f.u. The total energy comes out at -2.1721 eV per atom. As for the space group: Amm2 (38). Its mass density is 1.104 Mg/m³.

Unit cell a=9.690 b=5.961 c=5.961 alpha=55.11 beta=90.00 gamma=90.00
Sites, in units of the cell vectors:
Li 0.000 0.000 0.000
Li 0.000 0.487 0.487
Li 0.000 0.491 0.993
Li 0.000 0.993 0.491
Li 0.248 0.838 0.838
Li 0.264 0.343 0.839
Li 0.264 0.839 0.343
Li 0.269 0.325 0.325
Li 0.500 0.188 0.696
Li 0.500 0.696 0.188
Li 0.731 0.325 0.325
Li 0.736 0.343 0.839
Li 0.736 0.839 0.343
Li 0.752 0.838 0.838
Al 0.500 0.694 0.694
Cu 0.500 0.180 0.180



Record 7
LiAl8Cu4: relaxed, PBE.

The magnetization is 0.00 μB/f.u. The total energy comes out at -3.8857 eV per atom. As for the space group: I4/mmm (139). Its mass density is 4.045 Mg/m³.

Unit cell a=6.703 b=6.703 c=6.703 alpha=98.30 beta=98.30 gamma=135.34
Sites, in units of the cell vectors:
Li 0.000 0.000 0.000
Al 0.000 0.344 0.344
Al 0.000 0.656 0.656
Al 0.283 0.500 0.783
Al 0.344 0.000 0.344
Al 0.500 0.283 0.783
Al 0.500 0.717 0.217
Al 0.656 0.000 0.656
Al 0.717 0.500 0.217
Cu 0.000 0.000 0.500
Cu 0.000 0.500 0.000
Cu 0.500 0.000 0.000
Cu 0.500 0.500 0.500



Record 8
LiAl4Cu: relaxed, PBE.

The magnetization is 0.00 μB/f.u. As for the space group: I4/mcm (140). Its mass density is 3.099 Mg/m³. The relative energy among the computed polymorphs is 0 meV per atom.

Unit cell a=6.659 b=6.659 c=6.659 alpha=124.87 beta=124.87 gamma=81.75
Sites, in units of the cell vectors:
Li 0.000 0.000 0.000
Li 0.500 0.500 0.000
Al 0.016 0.516 0.814
Al 0.202 0.016 0.500
Al 0.298 0.798 0.814
Al 0.484 0.298 0.500
Al 0.516 0.702 0.500
Al 0.702 0.202 0.186
Al 0.798 0.984 0.500
Al 0.984 0.484 0.186
Cu 0.250 0.250 0.000
Cu 0.750 0.750 0.000



Record 9
Li4AlCu2: relaxed, PBE.

The magnetization is 0.00 μB/f.u. The total energy comes out at -2.7922 eV per atom. As for the space group: Fmmm (69). Its mass density is 2.724 Mg/m³.

Unit cell a=5.425 b=5.415 c=5.340 alpha=60.59 beta=60.39 gamma=59.02
Sites, in units of the cell vectors:
Li 0.000 0.500 0.000
Li 0.000 0.500 0.500
Li 0.500 0.000 0.000
Li 0.500 0.000 0.500
Al 0.000 0.000 0.000
Cu 0.000 0.000 0.500
Cu 0.500 0.500 0.000



Record 10
LiAlCu5: relaxed, PBE.

The magnetization is 0.00 μB/f.u. As for the space group: Imm2 (44). Its mass density is 6.070 Mg/m³. The relative energy among the computed polymorphs is 99 meV per atom.

Unit cell a=5.407 b=5.407 c=5.407 alpha=129.05 beta=126.11 gamma=77.33
Sites, in units of the cell vectors:
Li 0.000 0.000 0.000
Al 0.791 0.291 0.500
Cu 0.002 0.746 0.256
Cu 0.272 0.272 0.000
Cu 0.491 0.746 0.744
Cu 0.518 0.266 0.748
Cu 0.518 0.771 0.252



Record 11
Li2AlCu: relaxed, PBE.

The magnetization is 0.00 μB/f.u. The total energy comes out at -3.0711 eV per atom. As for the space group: C2/m (12). Its mass density is 3.085 Mg/m³.

Unit cell a=5.253 b=5.253 c=4.255 alpha=113.62 beta=113.62 gamma=31.77
Sites, in units of the cell vectors:
Li 0.235 0.235 0.235
Li 0.765 0.765 0.765
Al 0.000 0.000 0.500
Cu 0.500 0.500 0.000



Record 12
Li2AlCu: relaxed, PBE.

The magnetization is 0.00 μB/f.u. The total energy comes out at -3.0343 eV per atom. As for the space group: I4/mmm (139). Its mass density is 3.034 Mg/m³.

Unit cell a=4.995 b=4.995 c=4.995 alpha=137.06 beta=137.06 gamma=62.34
Sites, in units of the cell vectors:
Li 0.250 0.750 0.500
Li 0.750 0.250 0.500
Al 0.000 0.000 0.000
Cu 0.500 0.500 0.000



Record 13
Li2AlCu6: relaxed, PBE.

The magnetization is 0.00 μB/f.u. As for the space group: C2/m (12). Its mass density is 6.294 Mg/m³. The relative energy among the computed polymorphs is 0 meV per atom.

Unit cell a=4.135 b=4.135 c=7.539 alpha=90.38 beta=90.38 gamma=59.78
Sites, in units of the cell vectors:
Li 0.167 0.167 0.225
Li 0.833 0.833 0.775
Al 0.500 0.500 0.000
Cu 0.166 0.166 0.553
Cu 0.166 0.166 0.888
Cu 0.500 0.500 0.336
Cu 0.500 0.500 0.664
Cu 0.834 0.834 0.112
Cu 0.834 0.834 0.447



Record 14
Li2Al8Cu: relaxed, PBE.

The magnetization is 0.00 μB/f.u. The total energy comes out at -3.5519 eV per atom. As for the space group: P4/mmm (123). Its mass density is 2.714 Mg/m³.

Unit cell a=4.127 b=4.127 c=10.532 alpha=90.00 beta=90.00 gamma=90.00
Sites, in units of the cell vectors:
Li 0.000 0.000 0.183
Li 0.000 0.000 0.817
Al 0.000 0.500 0.000
Al 0.000 0.500 0.366
Al 0.000 0.500 0.634
Al 0.500 0.000 0.000
Al 0.500 0.000 0.366
Al 0.500 0.000 0.634
Al 0.500 0.500 0.187
Al 0.500 0.500 0.813
Cu 0.000 0.000 0.500



Record 15
Li2AlCu2: relaxed, PBE.

The magnetization is 0.00 μB/f.u. As for the space group: P4/mbm (127). Its mass density is 4.275 Mg/m³. The relative energy among the computed polymorphs is 166 meV per atom.

Unit cell a=6.917 b=6.917 c=2.727 alpha=90.00 beta=90.00 gamma=90.00
Sites, in units of the cell vectors:
Li 0.122 0.378 0.000
Li 0.378 0.878 0.000
Li 0.622 0.122 0.000
Li 0.878 0.622 0.000
Al 0.000 0.000 0.000
Al 0.500 0.500 0.000
Cu 0.177 0.677 0.500
Cu 0.323 0.177 0.500
Cu 0.677 0.823 0.500
Cu 0.823 0.323 0.500



Record 16
Li4Al5Cu: relaxed, PBE.

The magnetization is 0.00 μB/f.u. The total energy comes out at -3.1551 eV per atom. As for the space group: P4/mmm (123). Its mass density is 2.524 Mg/m³.

Unit cell a=3.188 b=3.188 c=14.643 alpha=90.00 beta=90.00 gamma=90.00
Sites, in units of the cell vectors:
Li 0.000 0.000 0.102
Li 0.000 0.000 0.304
Li 0.000 0.000 0.696
Li 0.000 0.000 0.898
Al 0.500 0.500 0.000
Al 0.500 0.500 0.204
Al 0.500 0.500 0.405
Al 0.500 0.500 0.595
Al 0.500 0.500 0.796
Cu 0.000 0.000 0.500



Record 17
LiAlCu2: relaxed, PBE.

The magnetization is 0.00 μB/f.u. The total energy comes out at -3.2968 eV per atom. As for the space group: I-42d (122). Its mass density is 4.636 Mg/m³.

Unit cell a=9.110 b=9.110 c=9.110 alpha=157.00 beta=157.00 gamma=32.75
Sites, in units of the cell vectors:
Li 0.000 0.000 0.000
Li 0.750 0.250 0.500
Al 0.250 0.750 0.500
Al 0.500 0.500 0.000
Cu 0.131 0.625 0.006
Cu 0.375 0.381 0.506
Cu 0.619 0.125 0.994
Cu 0.875 0.869 0.494



Record 18
Li6AlCu2: relaxed, PBE.

The magnetization is 0.00 μB/f.u. As for the space group: R-3m (166). Its mass density is 2.151 Mg/m³. The relative energy among the computed polymorphs is 57 meV per atom.

Unit cell a=9.010 b=9.010 c=9.010 alpha=28.90 beta=28.90 gamma=28.90
Sites, in units of the cell vectors:
Li 0.087 0.087 0.087
Li 0.201 0.201 0.201
Li 0.307 0.307 0.307
Li 0.693 0.693 0.693
Li 0.799 0.799 0.799
Li 0.913 0.913 0.913
Al 0.500 0.500 0.500
Cu 0.408 0.408 0.408
Cu 0.592 0.592 0.592



Record 19
LiAlCu3: relaxed, PBE.

The magnetization is 0.00 μB/f.u. As for the space group: Pm-3m (221). Its mass density is 3.922 Mg/m³. The relative energy among the computed polymorphs is 584 meV per atom.

Unit cell a=4.564 b=4.564 c=4.564 alpha=90.00 beta=90.00 gamma=90.00
Sites, in units of the cell vectors:
Li 0.000 0.000 0.000
Al 0.500 0.500 0.500
Cu 0.000 0.500 0.500
Cu 0.500 0.000 0.500
Cu 0.500 0.500 0.000



Record 20
LiAlCu2: relaxed, PBE.

The magnetization is 0.00 μB/f.u. The total energy comes out at -3.5688 eV per atom. As for the space group: C2/m (12). Its mass density is 5.072 Mg/m³.

Unit cell a=4.432 b=4.432 c=4.822 alpha=97.52 beta=97.52 gamma=34.18
Sites, in units of the cell vectors:
Li 0.000 0.000 0.000
Al 0.500 0.500 0.500
Cu 0.242 0.242 0.750
Cu 0.758 0.758 0.250